Record 1
PRu after structural relaxation. Source: Alexandria, functional GGA-PBE.

a = 4.4748 Å, b = 4.4748 Å, c = 4.2788 Å
α = 79.11°, β = 79.11°, γ = 38.67°
Positions (direct):
P  0.6202  0.6202  0.1823
P  0.3798  0.3798  0.8177
Ru  0.1134  0.1134  0.7120
Ru  0.8866  0.8866  0.2880

Values from the calculation:
DOS(E_F) = 0.37 states/eV/atom
energy of formation from the pure elements = -31.4 kJ/mol of atoms
final energy = -7.6685 eV per atom
ΔE to the lowest computed polymorph = 0.2357 eV/atom

=====

Record 2
K3Th3AgTe8 after structural relaxation. Source: Alexandria, functional GGA-PBE.

a = 9.1094 Å, b = 9.1023 Å, c = 9.8334 Å
α = 117.54°, β = 90.00°, γ = 120.02°
Positions (direct):
K  0.0000  0.0000  0.0000
K  0.0000  0.5000  0.0000
K  0.5000  0.5000  0.0000
Th  0.5000  0.0000  0.5000
Th  0.5000  0.5000  0.5000
Th  0.0000  0.5000  0.5000
Ag  0.0000  0.0000  0.5000
Te  0.2603  0.5207  0.2813
Te  0.7397  0.4793  0.7187
Te  0.7617  0.5235  0.2942
Te  0.2383  0.4765  0.7058
Te  0.7608  0.0325  0.2934
Te  0.2392  0.9675  0.7066
Te  0.2717  0.0325  0.2934
Te  0.7283  0.9675  0.7066

Values from the calculation:
final energy = -4.6220 eV per atom
formation energy from raw total energies = -1.05 eV/atom

=====

Record 3
RbSc2B after structural relaxation. Source: Alexandria, functional GGA-PBE.

a = 7.3196 Å, b = 7.3196 Å, c = 7.3289 Å
α = 60.04°, β = 60.04°, γ = 90.00°
Positions (direct):
Sc  0.3754  0.1250  0.2500
Sc  0.3746  0.6250  0.2500
Sc  0.3750  0.6246  0.7500
Sc  0.8750  0.6254  0.7500
B  0.5000  0.5000  0.0000
B  0.2500  0.7500  0.5000
Rb  0.0000  0.0000  0.0000
Rb  0.7500  0.2500  0.5000

Values from the calculation:
DOS(E_F) = 1.19 states/eV/atom
energy of formation from the pure elements = 52.4 kJ/mol of atoms
final energy = -4.5336 eV per atom

=====

Record 4
LiSm2Pt2 after structural relaxation. Source: Alexandria, functional GGA-PBE.

a = 7.7369 Å, b = 7.7369 Å, c = 7.7118 Å
α = 90.00°, β = 90.00°, γ = 90.00°
Positions (direct):
Li  0.5000  0.5000  0.2496
Li  0.0000  0.0000  0.7496
Li  0.5000  0.5000  0.7504
Li  0.0000  0.0000  0.2504
Sm  0.6638  0.8361  0.5000
Sm  0.3362  0.1639  0.5000
Sm  0.8362  0.3361  0.0000
Sm  0.1638  0.6639  0.0000
Sm  0.8361  0.3362  0.5000
Sm  0.1639  0.6638  0.5000
Sm  0.3361  0.1638  0.0000
Sm  0.6639  0.8362  0.0000
Pt  0.3634  0.8634  0.2500
Pt  0.6366  0.1366  0.2500
Pt  0.1366  0.3634  0.7500
Pt  0.8634  0.6366  0.7500
Pt  0.8634  0.6366  0.2500
Pt  0.1366  0.3634  0.2500
Pt  0.3634  0.8634  0.7500
Pt  0.6366  0.1366  0.7500

Values from the calculation:
DOS(E_F) = 0.52 states/eV/atom
energy of formation from the pure elements = -90.3 kJ/mol of atoms
final energy = -5.6229 eV per atom
ΔE to the lowest computed polymorph = 0.0052 eV/atom